Compound: BiMo
Source: Alexandria
Functional: PBE-GGA
Structure: relaxed

Final energy, eV/atom: -6.46
Size of the total moment, μB/cell: 0.00
Excess energy over the best structure of this formula in the dataset, eV/f.u.: 0.73

abc: 6.202 6.202 5.519
angles: 90.00 90.00 90.00
Positions (direct):
Bi  0.197  0.197  0.000
Bi  0.303  0.697  0.500
Bi  0.697  0.303  0.500
Bi  0.803  0.803  0.000
Mo  0.130  0.130  0.500
Mo  0.370  0.630  0.000
Mo  0.630  0.370  0.000
Mo  0.870  0.870  0.500



Compound: BiMo
Source: Alexandria
Functional: PBE-GGA
Structure: relaxed

Final energy, eV/atom: -5.89
Size of the total moment, μB/cell: 2.51
Excess energy over the best structure of this formula in the dataset, eV/f.u.: 1.88

abc: 4.543 4.543 4.543
angles: 60.00 60.00 60.00
Positions (direct):
Bi  0.000  0.000  0.000
Mo  0.250  0.250  0.250



Compound: BiMo
Source: Alexandria
Functional: PBE-GGA
Structure: relaxed

Final energy, eV/atom: -5.80
Size of the total moment, μB/cell: 17.74
Excess energy over the best structure of this formula in the dataset, eV/f.u.: 2.06

abc: 7.950 7.950 7.950
angles: 90.00 90.00 90.00
Positions (direct):
Bi  0.000  0.250  0.500
Bi  0.000  0.750  0.500
Bi  0.250  0.500  0.000
Bi  0.500  0.000  0.250
Bi  0.500  0.000  0.750
Bi  0.750  0.500  0.000
Mo  0.000  0.500  0.250
Mo  0.000  0.500  0.750
Mo  0.250  0.000  0.500
Mo  0.500  0.250  0.000
Mo  0.500  0.750  0.000
Mo  0.750  0.000  0.500



Compound: BiMo
Source: Alexandria
Functional: PBE-GGA
Structure: relaxed

Final energy, eV/atom: -6.74
Size of the total moment, μB/cell: 0.00
Excess energy over the best structure of this formula in the dataset, eV/f.u.: 0.19

abc: 5.727 6.723 9.704
angles: 90.00 90.00 90.00
Positions (direct):
Bi  0.099  0.140  0.055
Bi  0.232  0.662  0.162
Bi  0.268  0.338  0.662
Bi  0.401  0.860  0.555
Bi  0.599  0.360  0.945
Bi  0.732  0.838  0.838
Bi  0.768  0.162  0.338
Bi  0.901  0.640  0.445
Mo  0.077  0.541  0.892
Mo  0.241  0.851  0.846
Mo  0.259  0.149  0.346
Mo  0.423  0.459  0.392
Mo  0.577  0.959  0.108
Mo  0.741  0.649  0.154
Mo  0.759  0.351  0.654
Mo  0.923  0.041  0.608



Compound: BiMo
Source: Alexandria
Functional: PBE-GGA
Structure: relaxed

Final energy, eV/atom: -6.68
Size of the total moment, μB/cell: 0.00
Excess energy over the best structure of this formula in the dataset, eV/f.u.: 0.30

abc: 8.366 8.366 8.366
angles: 92.26 92.26 157.09
Positions (direct):
Bi  0.036  0.276  0.311
Bi  0.276  0.964  0.240
Bi  0.724  0.036  0.760
Bi  0.964  0.724  0.689
Mo  0.276  0.326  0.602
Mo  0.326  0.724  0.050
Mo  0.674  0.276  0.950
Mo  0.724  0.674  0.398



Compound: Bi3MoN
Source: Alexandria
Functional: PBE-GGA
Structure: relaxed

Final energy, eV/atom: -4.60
Formation energy without anion corrections, eV/atom: 1.555
Size of the total moment, μB/cell: 0.00
Excess energy over the best structure of this formula in the dataset, eV/f.u.: 2.95

abc: 5.282 5.282 5.282
angles: 90.00 90.00 90.00
Positions (direct):
Bi  0.000  0.000  0.500
Bi  0.000  0.500  0.000
Bi  0.500  0.000  0.000
Mo  0.000  0.000  0.000
N  0.500  0.500  0.500



Compound: BiMoN2
Source: Alexandria
Functional: PBE-GGA
Structure: relaxed

Final energy, eV/atom: -7.63
Formation energy without anion corrections, eV/atom: 0.212
Size of the total moment, μB/cell: 0.19

abc: 7.284 7.284 7.284
angles: 24.81 24.81 24.81
Positions (direct):
Bi  0.000  0.000  0.000
Mo  0.500  0.500  0.500
N  0.114  0.114  0.114
N  0.886  0.886  0.886



Compound: BiMo2N
Source: Alexandria
Functional: PBE-GGA
Structure: relaxed

Final energy, eV/atom: -7.04
Formation energy without anion corrections, eV/atom: 1.425
Size of the total moment, μB/cell: 1.95
Excess energy over the best structure of this formula in the dataset, eV/f.u.: 3.79

abc: 4.499 4.499 4.499
angles: 60.00 60.00 60.00
Positions (direct):
Bi  0.000  0.000  0.000
Mo  0.250  0.250  0.250
Mo  0.750  0.750  0.750
N  0.500  0.500  0.500



Compound: BiMo3N
Source: Alexandria
Functional: PBE-GGA
Structure: relaxed

Final energy, eV/atom: -5.24
Formation energy without anion corrections, eV/atom: 3.696
Size of the total moment, μB/cell: 0.00
Excess energy over the best structure of this formula in the dataset, eV/f.u.: 17.23

abc: 5.032 5.032 5.032
angles: 90.00 90.00 90.00
Positions (direct):
Bi  0.000  0.000  0.000
Mo  0.000  0.000  0.500
Mo  0.000  0.500  0.000
Mo  0.500  0.000  0.000
N  0.500  0.500  0.500



Compound: BiMo2N
Source: Alexandria
Functional: PBE-GGA
Structure: relaxed

Final energy, eV/atom: -7.99
Formation energy without anion corrections, eV/atom: 0.477
Size of the total moment, μB/cell: 0.00
Excess energy over the best structure of this formula in the dataset, eV/f.u.: 0.00

abc: 6.758 6.758 6.758
angles: 134.27 134.27 66.67
Positions (direct):
Bi  0.000  0.000  0.000
Bi  0.750  0.250  0.500
Mo  0.281  0.625  0.156
Mo  0.375  0.531  0.656
Mo  0.469  0.125  0.844
Mo  0.875  0.719  0.344
N  0.250  0.750  0.500
N  0.500  0.500  0.000



Compound: Bi3MoN
Source: Alexandria
Functional: PBE-GGA
Structure: relaxed

Final energy, eV/atom: -5.20
Formation energy without anion corrections, eV/atom: 0.964
Size of the total moment, μB/cell: 2.91
Excess energy over the best structure of this formula in the dataset, eV/f.u.: 0.00

abc: 4.875 4.875 4.875
angles: 90.00 90.00 90.00
Positions (direct):
Bi  0.000  0.000  0.500
Bi  0.000  0.500  0.000
Bi  0.500  0.000  0.000
Mo  0.500  0.500  0.500
N  0.000  0.000  0.000



Compound: BiMoN3
Source: Alexandria
Functional: PBE-GGA
Structure: relaxed

Final energy, eV/atom: -5.68
Formation energy without anion corrections, eV/atom: 2.255
Size of the total moment, μB/cell: 1.86

abc: 4.210 4.210 4.210
angles: 90.00 90.00 90.00
Positions (direct):
Bi  0.000  0.000  0.000
Mo  0.500  0.500  0.500
N  0.000  0.000  0.500
N  0.000  0.500  0.000
N  0.500  0.000  0.000



Compound: BiMo3N
Source: Alexandria
Functional: PBE-GGA
Structure: relaxed

Final energy, eV/atom: -8.69
Formation energy without anion corrections, eV/atom: 0.249
Size of the total moment, μB/cell: 0.00
Excess energy over the best structure of this formula in the dataset, eV/f.u.: 0.00

abc: 4.246 4.246 4.246
angles: 90.00 90.00 90.00
Positions (direct):
Bi  0.000  0.000  0.000
Mo  0.000  0.500  0.500
Mo  0.500  0.000  0.500
Mo  0.500  0.500  0.000
N  0.500  0.500  0.500



Compound: BiMoN2
Source: Alexandria
Functional: PBE-GGA
Structure: relaxed

Final energy, eV/atom: -7.00
Formation energy without anion corrections, eV/atom: 0.846
Size of the total moment, μB/cell: 0.00

abc: 6.815 6.815 6.815
angles: 29.34 29.34 29.34
Positions (direct):
Bi  0.000  0.000  0.000
Mo  0.500  0.500  0.500
N  0.402  0.402  0.402
N  0.598  0.598  0.598



Compound: BiMoN3
Source: Alexandria
Functional: PBE-GGA
Structure: relaxed

Final energy, eV/atom: -7.45
Formation energy without anion corrections, eV/atom: 0.491
Size of the total moment, μB/cell: 0.00

abc: 3.998 3.998 3.998
angles: 90.00 90.00 90.00
Positions (direct):
Bi  0.000  0.000  0.000
Mo  0.500  0.500  0.500
N  0.000  0.500  0.500
N  0.500  0.000  0.500
N  0.500  0.500  0.000



Compound: BiMoN2
Source: Alexandria
Functional: PBE-GGA
Structure: relaxed

Final energy, eV/atom: -7.61
Formation energy without anion corrections, eV/atom: 0.232
Size of the total moment, μB/cell: 0.00

abc: 6.058 6.058 6.058
angles: 126.22 126.22 79.53
Positions (direct):
Bi  0.000  0.000  0.000
Bi  0.750  0.250  0.500
Mo  0.250  0.750  0.500
Mo  0.500  0.500  0.000
N  0.258  0.625  0.133
N  0.375  0.508  0.633
N  0.492  0.125  0.867
N  0.875  0.742  0.367